Compound: BeAg3Sn
Source: Alexandria
Functional: PBE-GGA
Structure: optimized geometry

Structure (POSCAR):
```
BeAg3Sn
1.0
4.580 0.000 0.000
0.000 4.580 0.000
0.000 0.000 4.580
Be Sn Ag
1 1 3
direct
0.000 0.000 0.000
0.500 0.500 0.500
0.000 0.500 0.000
0.000 0.000 0.500
0.500 0.000 0.000
```

* DFT formation energy: 0.3023 eV/atom
* energy relative to the lowest polymorph listed for this composition: 0.0000 eV per atom